1.
! GaSe2F PBE optimized geometry; values from VASP
! uncorrected formation energy	-0.321	eV per atom
! V	193.5	Å³/cell
! Fermi-level density of states	5.73	states/eV/f.u.
! energy above the lowest structure with this stoichiometry	0.195	eV/atom
&SYSTEM
  ibrav = 0, nat = 8, ntyp = 3
/
ATOMIC_SPECIES
Ga 69.72 Ga.upf
Se 78.96 Se.upf
F 19.00 F.upf
CELL_PARAMETERS angstrom
-3.0302 3.0302 5.2693
3.0302 -3.0302 5.2693
3.0302 3.0302 -5.2693
ATOMIC_POSITIONS angstrom
Ga 0.0000 0.0000 0.0000
Ga 0.0000 3.0302 2.6347
Se 4.5452 1.4243 -1.3173
Se 1.4243 1.5151 1.3173
Se -1.5151 1.6058 3.9520
Se 1.6058 1.5151 6.5866
F 3.0302 0.0000 2.6347
F 0.0000 0.0000 5.2693

2.
! CePmPa2Sb4 PBE optimized geometry; values from VASP
! uncorrected formation energy	-0.770	eV per atom
! V	246.4	Å³/cell
! Fermi-level density of states	17.21	states/eV/f.u.
&SYSTEM
  ibrav = 0, nat = 8, ntyp = 4
/
ATOMIC_SPECIES
Ce 140.12 Ce.upf
Pm 145.00 Pm.upf
Pa 231.04 Pa.upf
Sb 121.76 Sb.upf
CELL_PARAMETERS angstrom
7.6606 0.0000 0.0000
0.0000 4.4211 0.0000
-2.5515 0.0000 7.2749
ATOMIC_POSITIONS angstrom
Ce 0.0000 0.0000 0.0000
Pm 3.8303 2.2105 0.0000
Pa -1.2757 2.2105 3.6374
Pa 2.5545 0.0000 3.6374
Sb 0.0029 0.0000 5.4033
Sb 1.2795 2.2105 1.8706
Sb 3.8295 2.2105 5.4042
Sb 5.1062 0.0000 1.8716

Q: Among the records above, which one has the lowest V?
A: GaSe2F

Q: Which value of V does entry 1 give?
A: 193.5 Å³/cell

Q: Which of these has the lowest V?
A: GaSe2F

Q: Look up the V of the first one.
A: 193.5 Å³/cell